1.
Below is crystalline LaCr2Os at its relaxed geometry, with properties calculated at the PBE-GGA level.

It has space group Pm (No. 6), with a = 2.915 Å, b = 3.827 Å, c = 6.689 Å, α = 90.00°, β = 100.58° and γ = 90.00°. The asymmetric unit holds La at (0.000, 0.000, 0.000), Cr at (0.226, 0.500, 0.661), Cr at (0.457, 0.000, 0.491) and Os at (0.744, 0.500, 0.321).

As for the distance to the lowest polymorph of the same formula: 0.31 eV per formula unit. The value obtained for the density is 9.80 g/cm³. As for the density of states at the Fermi level: 1.347 states/eV per atom. The size of the total moment comes out at 0.97 μB/f.u. Its crystal system is monoclinic. Its total energy is -8.372 eV per atom. The formation energy is 479 meV/atom.


2.
Below is crystalline LaCr2Os at its relaxed geometry, with properties calculated at the PBE-GGA level.

It has space group P4mm (No. 99), with a = 3.018 Å, b = 3.018 Å, c = 7.437 Å, α = 90.00°, β = 90.00° and γ = 90.00°. The asymmetric unit holds La at (0.000, 0.000, 0.000), Cr at (0.000, 0.000, 0.516), Cr at (0.500, 0.500, 0.676) and Os at (0.500, 0.500, 0.328).

As for the distance to the lowest polymorph of the same formula: 0.00 eV per formula unit. The value obtained for the density is 10.62 g/cm³. As for the density of states at the Fermi level: 1.170 states/eV per atom. The size of the total moment comes out at 0.01 μB/f.u. Its crystal system is tetragonal. Its total energy is -8.450 eV per atom. The formation energy is 401 meV/atom.


3.
Below is crystalline LaCrOs at its relaxed geometry, with properties calculated at the PBE-GGA level.

It has space group P3m1 (No. 156), with a = 4.0259 Å, b = 4.0259 Å, c = 4.6933 Å, α = 90.00°, β = 90.00° and γ = 120.00°. The asymmetric unit holds La at (0.0000, 0.0000, 0.0000), Cr at (0.3333, 0.6667, 0.4769) and Os at (0.6667, 0.3333, 0.5333).

As for the distance to the lowest polymorph of the same formula: 0.30 eV per formula unit. The value obtained for the density is 9.61 g/cm³. As for the density of states at the Fermi level: 1.070 states/eV per atom. The size of the total moment comes out at 0.00 μB/f.u. Its crystal system is trigonal. Its total energy is -8.421 eV per atom. The formation energy is 173 meV/atom.


4.
Below is crystalline LaCrOs2 at its relaxed geometry, with properties calculated at the PBE-GGA level.

It has space group Cmm2 (No. 35), with a = 3.072 Å, b = 4.787 Å, c = 9.196 Å, α = 90.00°, β = 90.00° and γ = 90.00°. The asymmetric unit holds La at (0.000, 0.000, 0.000), Cr at (0.000, 0.500, 0.283), Os at (0.000, 0.000, 0.482) and Os at (0.000, 0.500, 0.723).

As for the distance to the lowest polymorph of the same formula: 2.20 eV per formula unit. The value obtained for the density is 14.03 g/cm³. As for the density of states at the Fermi level: 1.241 states/eV per atom. The size of the total moment comes out at 0.04 μB/f.u. Its crystal system is orthorhombic. Its total energy is -8.451 eV per atom. The formation energy is 802 meV/atom.


5.
Below is crystalline LaCr2Os at its relaxed geometry, with properties calculated at the PBE-GGA level.

It has space group C2/m (No. 12), with a = 5.680 Å, b = 8.489 Å, c = 2.874 Å, α = 90.00°, β = 110.98° and γ = 90.00°. The asymmetric unit holds La at (0.000, 0.000, 0.000), Cr at (0.250, 0.250, 0.500) and Os at (0.000, 0.500, 0.000).

As for the distance to the lowest polymorph of the same formula: 1.60 eV per formula unit. The value obtained for the density is 11.12 g/cm³. As for the density of states at the Fermi level: 1.402 states/eV per atom. The size of the total moment comes out at 0.92 μB/f.u. Its crystal system is monoclinic. Its total energy is -8.049 eV per atom. The formation energy is 802 meV/atom.


6.
Below is crystalline La2CrOs at its relaxed geometry, with properties calculated at the PBE-GGA level.

It has space group R3m (No. 160, hexagonal axes), with a = 4.1077 Å, b = 4.1077 Å, c = 21.7150 Å, α = 90.00°, β = 90.00° and γ = 120.00°. The asymmetric unit holds La at (0.0000, 0.0000, 0.0000), La at (0.0000, 0.0000, 0.1891), Cr at (0.0000, 0.0000, 0.4163) and Os at (0.0000, 0.0000, 0.7722).

As for the distance to the lowest polymorph of the same formula: 0.00 eV per formula unit. The value obtained for the density is 8.16 g/cm³. As for the density of states at the Fermi level: 1.359 states/eV per atom. The size of the total moment comes out at 0.00 μB/f.u. Its crystal system is trigonal. Its total energy is -7.620 eV per atom. The formation energy is 57 meV/atom.


7.
Below is crystalline LaCrOs2 at its relaxed geometry, with properties calculated at the PBE-GGA level.

It has space group Pmmm (No. 47), with a = 3.038 Å, b = 4.770 Å, c = 4.806 Å, α = 90.00°, β = 90.00° and γ = 90.00°. The asymmetric unit holds La at (0.000, 0.000, 0.000), Cr at (0.500, 0.500, 0.000), Os at (0.000, 0.500, 0.500) and Os at (0.500, 0.000, 0.500).

As for the distance to the lowest polymorph of the same formula: 1.74 eV per formula unit. The value obtained for the density is 13.62 g/cm³. As for the density of states at the Fermi level: 1.159 states/eV per atom. The size of the total moment comes out at 2.56 μB/f.u. Its crystal system is orthorhombic. Its total energy is -8.564 eV per atom. The formation energy is 688 meV/atom.


8.
Below is crystalline LaCrOs2 at its relaxed geometry, with properties calculated at the PBE-GGA level.

It has space group Cm (No. 8), with a = 9.705 Å, b = 3.023 Å, c = 5.404 Å, α = 90.00°, β = 105.24° and γ = 90.00°. The asymmetric unit holds La at (0.000, 0.000, 0.000), Cr at (0.289, 0.500, 0.339), Os at (0.007, 0.500, 0.519) and Os at (0.234, 0.000, 0.649).

As for the distance to the lowest polymorph of the same formula: 0.74 eV per formula unit. The value obtained for the density is 12.40 g/cm³. As for the density of states at the Fermi level: 1.048 states/eV per atom. The size of the total moment comes out at 1.98 μB/f.u. Its crystal system is monoclinic. Its total energy is -8.816 eV per atom. The formation energy is 437 meV/atom.